Record 1
Compound: Zr2ZnHg3
Source: the Alexandria database
Functional: GGA-PBE
Structure: optimized geometry

a = 3.181 Å, b = 4.723 Å, c = 8.228 Å
α = 90.00°, β = 90.00°, γ = 90.00°
Space group Pmm2 (No. 25)
One atom of each set of equivalent atoms:
1 Zr 0.000 0.000 0.000 x1
2 Zr 0.000 0.500 0.486 x1
3 Zn 0.500 0.000 0.321 x1
4 Hg 0.500 0.000 0.643 x1
5 Hg 0.500 0.500 0.170 x1
6 Hg 0.500 0.500 0.827 x1

Output
As for the calculated total energy: -19.9 eV per cell.

Record 2
Compound: KSrV
Source: the Alexandria database
Functional: GGA-PBE
Structure: optimized geometry

a = 6.9839 Å, b = 6.9839 Å, c = 12.2902 Å
α = 90.00°, β = 90.00°, γ = 120.00°
Space group P6_3/mmc (No. 194)
One atom of each set of equivalent atoms:
1 K 0.3333 0.6667 0.2500 x2
2 Sr 0.0000 0.0000 0.2500 x2
3 V 0.0000 0.0000 0.0000 x2

Output
The calculation puts the energy above the most stable polymorph in this dataset at 1270.4 meV per atom.

Record 3
Compound: GeB
Source: the Alexandria database
Functional: GGA-PBE
Structure: optimized geometry

a = 5.526 Å, b = 5.526 Å, c = 3.573 Å
α = 90.00°, β = 90.00°, γ = 90.00°
Space group P4_2/mnm (No. 136)
One atom of each set of equivalent atoms:
1 Ge 0.246 0.246 0.000 x4
2 B 0.122 0.878 0.000 x4

Output
The calculation puts the energy above the most stable polymorph in this dataset at 2.8 meV per atom.

For the records above, the corresponding spin magnetization values read 0.00, 5.68, 0.00 μB/f.u..